Material: Tl3V2CuF9
Method: DFT, GGA+U
State: relaxed

Output
Its symmetry is P-3m1, No. 164. The total energy comes out at -4.991 eV/atom. The value obtained for the size of the total moment is 5.6 μB per formula unit.

a b c (Å): 6.0118 6.0118 7.3692
angles (deg): 90.00 90.00 120.00
Positions (direct):
Tl: 0.0000 0.0000 0.0000
Tl: 0.3333 0.6667 0.6466
Tl: 0.6667 0.3333 0.3534
V: 0.3333 0.6667 0.1610
V: 0.6667 0.3333 0.8390
Cu: 0.0000 0.0000 0.5000
F: 0.0000 0.5000 0.0000
F: 0.1718 0.3435 0.3238
F: 0.1718 0.8282 0.3238
F: 0.3435 0.1718 0.6762
F: 0.5000 0.0000 0.0000
F: 0.5000 0.5000 0.0000
F: 0.6565 0.8282 0.3238
F: 0.8282 0.1718 0.6762
F: 0.8282 0.6565 0.6762